Entry from Alexandria: KY2W at its PBEsol-relaxed geometry (SCAN).

Computed properties:
The calculated density comes out at 5.35 g cm⁻³. The energy comes out at -129.83 eV per cell. The value obtained for the offset from the most stable computed form is 0.92 eV per formula unit. Its energy relative to the elements is 0.97 eV per atom.

Cell: 3.1608 4.6418 8.4833 Å, 90.00 90.00 90.00°
Closest atoms and distances in Å follow each position.
Fractional positions:
W 0.5000 0.5000 0.8373  5 Y 2.89-2.96, 2 W 3.16
Y 0.5000 0.5000 0.1783  1 W 2.89, 2 Y 3.16
K 0.0000 0.0000 0.5358  2 K 3.16, 1 Y 3.50
Y 0.0000 0.0000 0.9486  4 W 2.96, 2 Y 3.16